Entry 1:
A plane-wave DFT calculation with GGA-PBE was carried out for a geometry-optimized AcHfS3 structure.

Values from the calculation:
magnetization: 0.00 μB/f.u.
density of states at the Fermi level: 0.231 states/eV per atom
calculated volume: 288.5 Å³/cell
ΔE to the lowest computed polymorph: 0.000 eV per atom

Cell and atoms, written as POSCAR:
```
AcHfS3
1.0
4.846 0.000 0.000
0.000 8.842 3.366
0.000 -8.842 3.366
Ac Hf S
2 2 6
Direct
0.250 0.163 0.837 Ac
0.750 0.837 0.163 Ac
0.250 0.385 0.524 Hf
0.750 0.524 0.385 Hf
0.250 0.066 0.462 S
0.250 0.424 0.289 S
0.250 0.710 0.899 S
0.750 0.289 0.424 S
0.750 0.462 0.066 S
0.750 0.899 0.710 S
```

Entry 2:
A plane-wave DFT calculation with GGA-PBE was carried out for a geometry-optimized SrY2W structure.

Values from the calculation:
E_form: 3.580 eV per formula unit
magnetization: 0.00 μB/f.u.
density of states at the Fermi level: 1.745 states/eV per atom
calculated volume: 216.8 Å³/cell
ΔE to the lowest computed polymorph: 0.461 eV per atom

Cell and atoms, written as POSCAR:
```
SrY2W
1.0
6.852 0.000 0.000
0.000 10.993 0.000
-1.360 0.000 2.879
Sr Y W
2 4 2
Direct
0.000 0.000 0.000 Sr
0.500 0.500 0.000 Sr
0.250 0.250 0.500 Y
0.250 0.750 0.500 Y
0.750 0.250 0.500 Y
0.750 0.750 0.500 Y
0.000 0.500 0.000 W
0.500 0.000 0.000 W
```

Entry 3:
A plane-wave DFT calculation with GGA-PBE was carried out for a geometry-optimized Ce5In4Ag structure.

Values from the calculation:
E_form: -3.033 eV per formula unit
magnetization: 3.28 μB/f.u.
density of states at the Fermi level: 2.583 states/eV per atom
calculated volume: 260.8 Å³/cell

Cell and atoms, written as POSCAR:
```
Ce5In4Ag
1.0
3.309 0.000 0.000
0.000 3.309 0.000
0.000 0.000 23.823
Ce In Ag
5 4 1
Direct
0.000 0.000 0.000 Ce
0.000 0.000 0.203 Ce
0.000 0.000 0.407 Ce
0.000 0.000 0.593 Ce
0.000 0.000 0.797 Ce
0.500 0.500 0.102 In
0.500 0.500 0.305 In
0.500 0.500 0.695 In
0.500 0.500 0.898 In
0.500 0.500 0.500 Ag
```

Entry 4:
A plane-wave DFT calculation with GGA-PBE was carried out for a geometry-optimized NaCu2AgI6 structure.

Values from the calculation:
total energy: -0.18256 Ry per atom
magnetization: 0.00 μB/f.u.
density of states at the Fermi level: 1.019 states/eV per atom
calculated volume: 765.6 Å³/cell

Cell and atoms, written as POSCAR:
```
NaCu2AgI6
1.0
7.611 -7.038 0.000
7.611 7.038 0.000
-2.897 0.000 7.146
Na Cu Ag I
2 4 2 12
Direct
0.120 0.880 0.750 Na
0.880 0.120 0.250 Na
0.228 0.381 0.782 Cu
0.381 0.228 0.282 Cu
0.619 0.772 0.718 Cu
0.772 0.619 0.218 Cu
0.210 0.790 0.250 Ag
0.790 0.210 0.750 Ag
0.056 0.192 0.673 I
0.125 0.619 0.896 I
0.192 0.056 0.173 I
0.327 0.429 0.536 I
0.381 0.875 0.604 I
0.429 0.327 0.036 I
0.571 0.673 0.964 I
0.619 0.125 0.396 I
0.673 0.571 0.464 I
0.808 0.944 0.827 I
0.875 0.381 0.104 I
0.944 0.808 0.327 I
```

Entry 5:
A plane-wave DFT calculation with GGA-PBE was carried out for a geometry-optimized SrLi2Ag structure.

Values from the calculation:
E_form: -0.213 eV per formula unit
magnetization: 0.00 μB/f.u.
density of states at the Fermi level: 0.545 states/eV per atom
calculated volume: 198.9 Å³/cell

Cell and atoms, written as POSCAR:
```
SrLi2Ag
1.0
4.550 0.000 0.000
0.000 4.550 0.000
0.000 0.000 9.607
Sr Li Ag
2 4 2
Direct
0.000 0.000 0.000 Sr
0.500 0.500 0.500 Sr
0.000 0.500 0.250 Li
0.000 0.500 0.750 Li
0.500 0.000 0.250 Li
0.500 0.000 0.750 Li
0.000 0.000 0.500 Ag
0.500 0.500 0.000 Ag
```

Entry 6:
A plane-wave DFT calculation with GGA-PBE was carried out for a geometry-optimized ZnFeSiIr structure.

Values from the calculation:
total energy: -0.46191 Ry per atom
magnetization: 0.00 μB/f.u.
density of states at the Fermi level: 0.691 states/eV per atom
calculated volume: 198.7 Å³/cell

Cell and atoms, written as POSCAR:
```
ZnFeSiIr
1.0
5.836 0.000 0.000
0.000 5.836 0.000
0.000 0.000 5.836
Zn Fe Si Ir
4 4 4 4
Direct
0.000 0.000 0.000 Zn
0.000 0.500 0.500 Zn
0.500 0.000 0.500 Zn
0.500 0.500 0.000 Zn
0.250 0.250 0.250 Fe
0.250 0.750 0.750 Fe
0.750 0.250 0.750 Fe
0.750 0.750 0.250 Fe
0.000 0.000 0.500 Si
0.000 0.500 0.000 Si
0.500 0.000 0.000 Si
0.500 0.500 0.500 Si
0.250 0.250 0.750 Ir
0.250 0.750 0.250 Ir
0.750 0.250 0.250 Ir
0.750 0.750 0.750 Ir
```

Entry 7:
A plane-wave DFT calculation with GGA-PBE was carried out for a geometry-optimized MgNiAu6 structure.

Values from the calculation:
E_form: -1.188 eV per formula unit
magnetization: 0.00 μB/f.u.
density of states at the Fermi level: 0.367 states/eV per atom
calculated volume: 137.2 Å³/cell

Cell and atoms, written as POSCAR:
```
MgNiAu6
1.0
5.828 0.000 0.000
0.000 5.828 0.000
0.000 0.000 4.040
Mg Ni Au
1 1 6
Direct
0.000 0.000 0.000 Mg
0.500 0.500 0.000 Ni
0.000 0.500 0.000 Au
0.254 0.254 0.500 Au
0.254 0.746 0.500 Au
0.500 0.000 0.000 Au
0.746 0.254 0.500 Au
0.746 0.746 0.500 Au
```

Entry 8:
A plane-wave DFT calculation with GGA-PBE was carried out for a geometry-optimized Li2Zn4Ir3 structure.

Values from the calculation:
E_form: -1.753 eV per formula unit
magnetization: 0.00 μB/f.u.
density of states at the Fermi level: 0.678 states/eV per atom
calculated volume: 249.4 Å³/cell

Cell and atoms, written as POSCAR:
```
Li2Zn4Ir3
1.0
5.132 0.000 0.000
-0.798 6.940 0.000
-0.480 -1.217 7.004
Li Zn Ir
4 8 6
Direct
0.036 0.114 0.268 Li
0.240 0.446 0.491 Li
0.760 0.554 0.509 Li
0.964 0.886 0.732 Li
0.082 0.549 0.834 Zn
0.306 0.888 0.061 Zn
0.326 0.119 0.598 Zn
0.433 0.535 0.183 Zn
0.567 0.465 0.817 Zn
0.674 0.881 0.402 Zn
0.694 0.112 0.939 Zn
0.918 0.451 0.166 Zn
0.157 0.779 0.378 Ir
0.209 0.226 0.949 Ir
0.438 0.789 0.710 Ir
0.562 0.211 0.290 Ir
0.791 0.774 0.051 Ir
0.843 0.221 0.622 Ir
```

Entry 9:
A plane-wave DFT calculation with GGA-PBE was carried out for a geometry-optimized Sn2H2F7 structure.

Values from the calculation:
total energy: -0.32426 Ry per atom
magnetization: 0.00 μB/f.u.
density of states at the Fermi level: 0.164 states/eV per atom
calculated volume: 133.2 Å³/cell

Cell and atoms, written as POSCAR:
```
Sn2H2F7
1.0
4.328 -3.369 0.000
4.328 3.369 0.000
-0.240 0.000 4.569
Sn H F
2 2 7
Direct
0.235 0.765 0.000 Sn
0.765 0.235 0.000 Sn
0.290 0.290 0.270 H
0.710 0.710 0.730 H
0.000 0.000 0.500 F
0.120 0.459 0.245 F
0.421 0.421 0.767 F
0.459 0.120 0.245 F
0.541 0.880 0.755 F
0.579 0.579 0.233 F
0.880 0.541 0.755 F
```

Entry 10:
A plane-wave DFT calculation with GGA-PBE was carried out for a geometry-optimized Na2Hg5Pd structure.

Values from the calculation:
E_form: -1.399 eV per formula unit
magnetization: 0.00 μB/f.u.
density of states at the Fermi level: 0.325 states/eV per atom
calculated volume: 392.2 Å³/cell

Cell and atoms, written as POSCAR:
```
Na2Hg5Pd
1.0
5.715 0.000 0.000
0.000 14.302 0.000
0.000 0.000 4.798
Na Hg Pd
4 10 2
Direct
0.203 0.157 0.000 Na
0.297 0.657 0.000 Na
0.703 0.343 0.000 Na
0.797 0.843 0.000 Na
0.000 0.000 0.500 Hg
0.073 0.296 0.500 Hg
0.207 0.425 0.000 Hg
0.293 0.925 0.000 Hg
0.427 0.796 0.500 Hg
0.500 0.500 0.500 Hg
0.573 0.204 0.500 Hg
0.707 0.075 0.000 Hg
0.793 0.575 0.000 Hg
0.927 0.704 0.500 Hg
0.000 0.500 0.500 Pd
0.500 0.000 0.500 Pd
```

Entry 11:
A plane-wave DFT calculation with GGA-PBE was carried out for a geometry-optimized Ba2TmScTe5 structure.

Values from the calculation:
total energy: -0.35737 Ry per atom
magnetization: 0.00 μB/f.u.
calculated volume: 655.3 Å³/cell

Cell and atoms, written as POSCAR:
```
Ba2TmScTe5
1.0
2.317 -9.537 0.000
2.317 9.537 0.000
0.000 0.000 14.827
Ba Tm Sc Te
4 2 2 10
Direct
0.107 0.893 0.500 Ba
0.144 0.856 0.123 Ba
0.856 0.144 0.623 Ba
0.893 0.107 0.000 Ba
0.211 0.789 0.833 Tm
0.789 0.211 0.333 Tm
0.472 0.528 0.264 Sc
0.528 0.472 0.764 Sc
0.052 0.948 0.868 Te
0.283 0.717 0.469 Te
0.322 0.678 0.197 Te
0.371 0.629 0.813 Te
0.488 0.512 0.584 Te
0.512 0.488 0.084 Te
0.629 0.371 0.313 Te
0.678 0.322 0.697 Te
0.717 0.283 0.969 Te
0.948 0.052 0.368 Te
```

Entry 12:
A plane-wave DFT calculation with GGA-PBE was carried out for a geometry-optimized Ca2TaPb structure.

Values from the calculation:
E_form: 1.851 eV per formula unit
magnetization: 2.88 μB/f.u.
density of states at the Fermi level: 1.010 states/eV per atom
calculated volume: 110.2 Å³/cell

Cell and atoms, written as POSCAR:
```
Ca2TaPb
1.0
3.913 0.000 0.000
0.000 3.913 0.000
0.000 0.000 7.195
Ca Ta Pb
2 1 1
Direct
0.000 0.000 0.241 Ca
0.000 0.000 0.759 Ca
0.500 0.500 0.000 Ta
0.500 0.500 0.500 Pb
```

Entry 13:
A plane-wave DFT calculation with GGA-PBE was carried out for a geometry-optimized Li3Sb2Pd4 structure.

Values from the calculation:
total energy: -0.32750 Ry per atom
magnetization: 0.00 μB/f.u.
density of states at the Fermi level: 0.539 states/eV per atom
calculated volume: 144.3 Å³/cell

Cell and atoms, written as POSCAR:
```
Li3Sb2Pd4
1.0
4.467 0.000 0.000
-2.233 3.868 0.000
0.000 0.000 8.353
Li Sb Pd
3 2 4
Direct
0.000 0.000 0.000 Li
0.333 0.667 0.565 Li
0.667 0.333 0.435 Li
0.333 0.667 0.225 Sb
0.667 0.333 0.775 Sb
0.000 0.000 0.328 Pd
0.000 0.000 0.672 Pd
0.333 0.667 0.897 Pd
0.667 0.333 0.103 Pd
```